# SCAN Li22Si5, single point on PBEsol structure
# total magnetic moment	0.00	Bohr magnetons per cell
# energy relative to the elements, uncorrected	-204	meV/atom
# total energy	-1730.51	eV per cell
data_Li22Si5
_chemical_formula_sum 'Li352 Si80'
_symmetry_space_group_name_H-M 'F -4 3 m'
_symmetry_Int_Tables_number 216
_symmetry_space_group_name_Hall 'F -4 2 3'
_cell_length_a 18.499
_cell_length_b 18.499
_cell_length_c 18.499
_cell_angle_alpha 90.00
_cell_angle_beta 90.00
_cell_angle_gamma 90.00
loop_
_atom_site_label
_atom_site_fract_x
_atom_site_fract_y
_atom_site_fract_z
Li1 0.000 0.000 0.000
Li2 0.000 0.000 0.167
Li3 0.000 0.000 0.500
Li4 0.001 0.164 0.164
Li5 0.009 0.159 0.659
Li6 0.075 0.075 0.575
Li7 0.076 0.076 0.076
Li8 0.077 0.250 0.250
Li9 0.082 0.082 0.418
Li10 0.087 0.087 0.256
Li11 0.089 0.089 0.757
Li12 0.167 0.167 0.833
Li13 0.173 0.173 0.673
Li14 0.179 0.179 0.321
Li15 0.250 0.250 0.250
Li16 0.250 0.250 0.750
Si1 0.000 0.000 0.325
Si2 0.074 0.250 0.750
Si3 0.083 0.083 0.917
Si4 0.162 0.162 0.162